[1]
Li2ErPb | Alexandria via LeMat-Bulk | PBE | relaxed; N(E_F) = 1.88 states/eV/cell; formation energy = -96 kJ/mol of formula units; V = 23.6 A^3/atom
1.0
4.4060 0.0000 0.0000
0.0000 4.4060 0.0000
0.0000 0.0000 4.8662
Li Er Pb
2 1 1
direct
0.0000 0.5000 0.0000 Li
0.5000 0.0000 0.0000 Li
0.0000 0.0000 0.5000 Er
0.5000 0.5000 0.5000 Pb



[2]
LiEr3Pb4 | Alexandria via LeMat-Bulk | PBE | relaxed; N(E_F) = 6.38 states/eV/cell; formation energy = -283 kJ/mol of formula units; V = 26.6 A^3/atom
1.0
-2.4520 2.4520 8.8584
2.4520 -2.4520 8.8584
2.4520 2.4520 -8.8584
Li Er Pb
1 3 4
direct
0.0000 0.0000 0.0000 Li
0.2538 0.2538 0.0000 Er
0.5000 0.5000 0.0000 Er
0.7462 0.7462 0.0000 Er
0.1217 0.6217 0.5000 Pb
0.3783 0.8783 0.5000 Pb
0.6217 0.1217 0.5000 Pb
0.8783 0.3783 0.5000 Pb



[3]
Li4ErPb | Alexandria via LeMat-Bulk | PBE | relaxed; N(E_F) = 3.31 states/eV/cell; formation energy = -55 kJ/mol of formula units; V = 20.7 A^3/atom
1.0
0.0000 3.9581 3.9581
3.9581 0.0000 3.9581
3.9581 3.9581 0.0000
Li Er Pb
4 1 1
direct
0.3756 0.3756 0.3756 Li
0.3756 0.3756 0.8732 Li
0.3756 0.8732 0.3756 Li
0.8732 0.3756 0.3756 Li
0.7500 0.7500 0.7500 Er
0.0000 0.0000 0.0000 Pb



Q: Look up the N(E_F) of the first one.
A: 1.88 states/eV/cell



Q: Among the records above, which one has the lowest V?
A: Li4ErPb



Q: What is the formation energy in the second record?
A: -283 kJ/mol of formula units



Please write out number 1 again, unchanged.
Li2ErPb | Alexandria via LeMat-Bulk | PBE | relaxed; N(E_F) = 1.88 states/eV/cell; formation energy = -96 kJ/mol of formula units; V = 23.6 A^3/atom
1.0
4.4060 0.0000 0.0000
0.0000 4.4060 0.0000
0.0000 0.0000 4.8662
Li Er Pb
2 1 1
direct
0.0000 0.5000 0.0000 Li
0.5000 0.0000 0.0000 Li
0.0000 0.0000 0.5000 Er
0.5000 0.5000 0.5000 Pb